Record 1
The following is a PBE calculation of a relaxed Sr3Ac4Ir4 crystal, from the Alexandria database.

Computed properties:
Its formation energy is -0.340 eV/atom. The calculated total energy is -5.515 eV per atom. For the total moment, the calculation gives 0.0 μB/f.u. As for the space group: Immm.

Unit cell a=9.480 b=9.480 c=9.480 alpha=149.88 beta=127.10 gamma=62.08
Positions (direct):
1 Sr 0.000 0.000 0.000
2 Sr 0.398 0.898 0.500
3 Sr 0.602 0.102 0.500
4 Ac 0.049 0.335 0.714
5 Ac 0.378 0.665 0.714
6 Ac 0.622 0.335 0.286
7 Ac 0.951 0.665 0.286
8 Ir 0.215 0.215 0.000
9 Ir 0.347 0.500 0.847
10 Ir 0.653 0.500 0.153
11 Ir 0.785 0.785 0.000

Record 2
The following is a PBE calculation of a relaxed K3Tc2O5F2 crystal, from the Alexandria database.

Computed properties:
The calculated total energy is -6.252 eV per atom. The value obtained for the raw formation energy is -1.8718 eV per atom. For the total moment, the calculation gives 2.1 μB/f.u. As for the space group: I4/mmm.

Unit cell a=11.263 b=11.263 c=11.263 alpha=159.95 beta=159.95 gamma=28.51
Positions (direct):
1 K 0.000 0.000 0.000
2 K 0.186 0.186 0.000
3 K 0.814 0.814 0.000
4 Tc 0.411 0.411 0.000
5 Tc 0.589 0.589 0.000
6 O 0.094 0.594 0.500
7 O 0.406 0.906 0.500
8 O 0.500 0.500 0.000
9 O 0.594 0.094 0.500
10 O 0.906 0.406 0.500
11 F 0.311 0.311 0.000
12 F 0.689 0.689 0.000

Record 3
The following is a PBE calculation of a relaxed NiBi2Ru crystal, from the Alexandria database.

Computed properties:
Its formation energy is 0.421 eV/atom. The energy above the most stable polymorph in this dataset comes out at 0.0000 eV/atom. The calculated total energy is -5.284 eV per atom. For the total moment, the calculation gives 0.0 μB/f.u. As for the space group: Fm-3m.

Unit cell a=4.801 b=4.801 c=4.801 alpha=60.00 beta=60.00 gamma=60.00
Positions (direct):
1 Ni 0.000 0.000 0.000
2 Bi 0.250 0.250 0.250
3 Bi 0.750 0.750 0.750
4 Ru 0.500 0.500 0.500

Record 4
The following is a PBE calculation of a relaxed Pm8HoCd2 crystal, from the Alexandria database.

Computed properties:
Its formation energy is 0.276 eV/atom. The calculated total energy is -3.761 eV per atom. For the total moment, the calculation gives 0.0 μB/f.u. As for the space group: C2/m.

Unit cell a=8.953 b=8.953 c=5.226 alpha=98.71 beta=98.71 gamma=75.39
Positions (direct):
1 Pm 0.083 0.083 0.292
2 Pm 0.136 0.662 0.211
3 Pm 0.261 0.261 0.873
4 Pm 0.338 0.864 0.789
5 Pm 0.662 0.136 0.211
6 Pm 0.739 0.739 0.127
7 Pm 0.864 0.338 0.789
8 Pm 0.917 0.917 0.708
9 Ho 0.500 0.500 0.000
10 Cd 0.382 0.382 0.450
11 Cd 0.618 0.618 0.550

Record 5
The following is a PBE calculation of a relaxed BeHg2Te crystal, from the Alexandria database.

Computed properties:
The energy above the most stable polymorph in this dataset comes out at 0.2786 eV/atom. The calculated total energy is -1.623 eV per atom. The value obtained for the raw formation energy is 0.2453 eV per atom. For the total moment, the calculation gives 0.0 μB/f.u. As for the space group: Cmm2.

Unit cell a=3.603 b=3.603 c=9.066 alpha=90.00 beta=90.00 gamma=116.69
Positions (direct):
1 Be 0.000 0.000 0.000
2 Hg 0.000 0.000 0.500
3 Hg 0.500 0.500 0.210
4 Te 0.500 0.500 0.841

Record 6
The following is a PBE calculation of a relaxed ScH3Os crystal, from the Alexandria database.

Computed properties:
The calculated total energy is -4.913 eV per atom. For the total moment, the calculation gives 0.8 μB/f.u. As for the space group: Pm-3m.

Unit cell a=3.531 b=3.531 c=3.531 alpha=90.00 beta=90.00 gamma=90.00
Positions (direct):
1 Sc 0.000 0.000 0.000
2 H 0.000 0.000 0.500
3 H 0.000 0.500 0.000
4 H 0.500 0.000 0.000
5 Os 0.500 0.500 0.500

Record 7
The following is a PBE calculation of a relaxed Tl7AuO4 crystal, from the Alexandria database.

Computed properties:
The calculated total energy is -3.749 eV per atom. The value obtained for the raw formation energy is -0.4433 eV per atom. For the total moment, the calculation gives 0.0 μB/f.u. As for the space group: Pmn2_1.

Unit cell a=13.630 b=6.971 c=6.142 alpha=90.00 beta=90.00 gamma=90.00
Positions (direct):
1 Tl 0.000 0.117 0.000
2 Tl 0.122 0.632 0.960
3 Tl 0.125 0.345 0.476
4 Tl 0.204 0.854 0.472
5 Tl 0.296 0.146 0.972
6 Tl 0.375 0.655 0.976
7 Tl 0.378 0.368 0.460
8 Tl 0.500 0.883 0.500
9 Tl 0.622 0.368 0.460
10 Tl 0.625 0.655 0.976
11 Tl 0.704 0.146 0.972
12 Tl 0.796 0.854 0.472
13 Tl 0.875 0.345 0.476
14 Tl 0.878 0.632 0.960
15 Au 0.000 0.861 0.472
16 Au 0.500 0.139 0.972
17 O 0.165 0.311 0.095
18 O 0.245 0.853 0.103
19 O 0.255 0.147 0.603
20 O 0.335 0.689 0.595
21 O 0.665 0.689 0.595
22 O 0.745 0.147 0.603
23 O 0.755 0.853 0.103
24 O 0.835 0.311 0.095

Record 8
The following is a PBE calculation of a relaxed Ce2NdC crystal, from the Alexandria database.

Computed properties:
Its formation energy is -0.047 eV/atom. The energy above the most stable polymorph in this dataset comes out at 0.0232 eV/atom. The calculated total energy is -6.511 eV per atom. For the total moment, the calculation gives 1.7 μB/f.u. As for the space group: R-3m.

Unit cell a=9.630 b=9.630 c=9.630 alpha=21.26 beta=21.26 gamma=21.26
Positions (direct):
1 Ce 0.218 0.218 0.218
2 Ce 0.782 0.782 0.782
3 Nd 0.000 0.000 0.000
4 C 0.500 0.500 0.500

> Number 3 is which compound?

NiBi2Ru